No. 1
Below is a crystal of CrW2Cl relaxed with PBEsol, with properties calculated at the SCAN level.

Geometry as extended XYZ:
```
4
Lattice="2.883 0.000 0.000 1.441 2.497 0.000 1.441 0.832 8.246" Properties=species:S:1:pos:R:3 pbc="T T T"
W 4.324 2.497 6.163
W 4.324 2.497 0.155
Cr 1.441 0.832 2.089
Cl 2.883 1.664 3.963
```

Properties
electronic total energy	-40.964	eV/atom
energy above the most stable polymorph in this dataset	0.000	eV per atom
mass density	12.734	g cm⁻³
formation energy (no corrections)	1.88	eV per formula unit


No. 2
Below is a crystal of CrW2Cl relaxed with PBEsol, with properties calculated at the SCAN level.

Geometry as extended XYZ:
```
4
Lattice="3.090 0.000 0.000 0.000 3.604 0.000 0.000 0.000 6.496" Properties=species:S:1:pos:R:3 pbc="T T T"
W 0.000 0.000 6.261
W 1.545 1.802 0.971
Cr 1.545 1.802 5.251
Cl 0.000 0.000 3.758
```

Properties
electronic total energy	-40.828	eV/atom
energy above the most stable polymorph in this dataset	0.136	eV per atom
mass density	10.448	g cm⁻³
formation energy (no corrections)	2.43	eV per formula unit


No. 3
Below is a crystal of CrWCl relaxed with PBEsol, with properties calculated at the SCAN level.

Geometry as extended XYZ:
```
3
Lattice="2.863 0.000 0.000 0.000 2.863 0.000 -1.431 -1.431 5.281" Properties=species:S:1:pos:R:3 pbc="T T T"
Cl 0.000 0.000 0.002
Cr 1.431 1.431 1.830
W 0.000 0.000 3.450
```

Properties
electronic total energy	-31.417	eV/atom
mass density	10.407	g cm⁻³
formation energy (no corrections)	1.80	eV per formula unit


No. 4
Below is a crystal of YCrCl relaxed with PBEsol, with properties calculated at the SCAN level.

Geometry as extended XYZ:
```
3
Lattice="4.503 0.000 0.000 2.252 3.900 0.000 2.252 1.300 3.677" Properties=species:S:1:pos:R:3 pbc="T T T"
Cr 0.000 0.000 0.000
Y 4.503 2.600 1.838
Cl 2.252 1.300 0.919
```

Properties
electronic total energy	-18.162	eV/atom
mass density	4.535	g cm⁻³
formation energy (no corrections)	-0.28	eV per formula unit


The highest electronic total energy belongs to which entry? YCrCl